Record 1
Compound: RbAs2Pt
Source: Alexandria via LeMat-Bulk
Functional: GGA-PBE
Structure: optimized geometry

Computed properties:
Density, kg/m³: 8369
D(E_F), states/eV/f.u.: 2.00
Offset from the most stable computed form, meV/atom: 796

a = 6.990 Å, b = 6.990 Å, c = 6.990 Å
α = 90.00°, β = 90.00°, γ = 90.00°
Space group Fm-3m (No. 225)
Asymmetric unit:
Rb1 0.000 0.000 0.000 [4 per cell]
As1 0.250 0.250 0.250 [8 per cell]
Pt1 0.000 0.000 0.500 [4 per cell]

Record 2
Compound: HoTm2Si2
Source: Alexandria via LeMat-Bulk
Functional: GGA-PBE
Structure: optimized geometry

Computed properties:
ΔE_f (raw), eV per atom: -0.58
Density, kg/m³: 7984
D(E_F), states/eV/f.u.: 2.94

a = 12.003 Å, b = 4.301 Å, c = 10.137 Å
α = 90.00°, β = 117.29°, γ = 90.00°
Space group C2/m (No. 12)
Asymmetric unit:
Ho1 0.217 0.000 0.355 [4 per cell]
Tm1 0.017 0.500 0.687 [4 per cell]
Tm2 0.186 0.500 0.086 [4 per cell]
Si1 0.032 0.000 0.899 [4 per cell]
Si2 0.113 0.000 0.563 [4 per cell]

Record 3
Compound: YLuAlCr
Source: Alexandria via LeMat-Bulk
Functional: GGA-PBE
Structure: optimized geometry

Computed properties:
Electronic total energy, eV/atom: -6.1237
Density, kg/m³: 6251
D(E_F), states/eV/f.u.: 2.84

a = 7.142 Å, b = 7.142 Å, c = 7.142 Å
α = 90.00°, β = 90.00°, γ = 90.00°
Space group F-43m (No. 216)
Asymmetric unit:
Y1 0.000 0.000 0.000 [4 per cell]
Lu1 0.000 0.000 0.500 [4 per cell]
Al1 0.250 0.250 0.750 [4 per cell]
Cr1 0.250 0.250 0.250 [4 per cell]

Record 4
Compound: K3ScI
Source: Alexandria via LeMat-Bulk
Functional: GGA-PBE
Structure: optimized geometry

Computed properties:
ΔE_f (raw), eV per atom: 0.38
Density, kg/m³: 1238
D(E_F), states/eV/f.u.: 4.23
Offset from the most stable computed form, meV/atom: 318

a = 7.293 Å, b = 7.293 Å, c = 7.293 Å
α = 90.00°, β = 90.00°, γ = 90.00°
Space group Pm-3m (No. 221)
Asymmetric unit:
K1 0.000 0.000 0.500 [3 per cell]
Sc1 0.000 0.000 0.000 [1 per cell]
I1 0.500 0.500 0.500 [1 per cell]

Record 5
Compound: LuB4Rh
Source: Alexandria via LeMat-Bulk
Functional: GGA-PBE
Structure: optimized geometry

Computed properties:
Density, kg/m³: 8930
D(E_F), states/eV/f.u.: 1.15
Offset from the most stable computed form, meV/atom: 0

a = 5.913 Å, b = 11.459 Å, c = 3.525 Å
α = 90.00°, β = 90.00°, γ = 90.00°
Space group Pbam (No. 55)
Asymmetric unit:
Lu1 0.132 0.149 0.000 [4 per cell]
B1 0.021 0.694 0.500 [4 per cell]
B2 0.113 0.548 0.500 [4 per cell]
B3 0.135 0.970 0.500 [4 per cell]
B4 0.207 0.812 0.500 [4 per cell]
Rh1 0.143 0.405 0.000 [4 per cell]

Record 6
Compound: Ca6Br7Cl5
Source: Alexandria via LeMat-Bulk
Functional: GGA-PBE
Structure: optimized geometry

Computed properties:
ΔE_f (raw), eV per atom: -2.18
Density, kg/m³: 2799
D(E_F), states/eV/f.u.: 0.00

a = 12.920 Å, b = 9.762 Å, c = 9.193 Å
α = 90.00°, β = 90.00°, γ = 90.00°
Space group Amm2 (No. 38)
Asymmetric unit:
Ca1 0.000 0.000 0.000 [2 per cell]
Ca2 0.165 0.000 0.498 [4 per cell]
Ca3 0.327 0.000 0.996 [4 per cell]
Ca4 0.500 0.000 0.518 [2 per cell]
Br1 0.000 0.200 0.499 [4 per cell]
Br2 0.333 0.199 0.506 [8 per cell]
Br3 0.500 0.000 0.202 [2 per cell]
Cl1 0.164 0.000 0.804 [4 per cell]
Cl2 0.166 0.000 0.194 [4 per cell]
Cl3 0.500 0.000 0.814 [2 per cell]

Record 7
Compound: La4Pr7Sc
Source: Alexandria via LeMat-Bulk
Functional: GGA-PBE
Structure: optimized geometry

Computed properties:
Electronic total energy, eV/atom: -4.7504
Density, kg/m³: 6183
D(E_F), states/eV/f.u.: 20.70

a = 17.819 Å, b = 5.979 Å, c = 9.280 Å
α = 90.00°, β = 120.46°, γ = 90.00°
Space group C2/m (No. 12)
Asymmetric unit:
La1 0.071 0.000 0.417 [4 per cell]
La2 0.199 0.000 0.176 [4 per cell]
Pr1 0.000 0.000 0.000 [2 per cell]
Pr2 0.077 0.500 0.732 [4 per cell]
Pr3 0.166 0.500 0.402 [4 per cell]
Pr4 0.225 0.000 0.850 [4 per cell]
Sc1 0.000 0.500 0.000 [2 per cell]

Record 8
Compound: La2AlSb
Source: Alexandria via LeMat-Bulk
Functional: GGA-PBE
Structure: optimized geometry

Computed properties:
ΔE_f (raw), eV per atom: -0.68
Density, kg/m³: 6069
D(E_F), states/eV/f.u.: 2.57
Offset from the most stable computed form, meV/atom: 76

a = 4.074 Å, b = 4.074 Å, c = 7.033 Å
α = 90.00°, β = 90.00°, γ = 90.00°
Space group P4/mmm (No. 123)
Asymmetric unit:
La1 0.000 0.000 0.246 [2 per cell]
Al1 0.500 0.500 0.500 [1 per cell]
Sb1 0.500 0.500 0.000 [1 per cell]

Record 9
Compound: Tb4Tl5
Source: Alexandria via LeMat-Bulk
Functional: GGA-PBE
Structure: optimized geometry

Computed properties:
Electronic total energy, eV/atom: -3.6786
Density, kg/m³: 10962
D(E_F), states/eV/f.u.: 7.88

a = 9.3805 Å, b = 9.3805 Å, c = 6.5900 Å
α = 90.00°, β = 90.00°, γ = 120.00°
Space group P6_3/mcm (No. 193)
Asymmetric unit:
Tb1 0.0000 0.0000 0.0000 [2 per cell]
Tb2 0.0000 0.3690 0.2500 [6 per cell]
Tl1 0.0000 0.2989 0.7500 [6 per cell]
Tl2 0.3333 0.6667 0.0000 [4 per cell]

Record 10
Compound: Ca2AlRhO5
Source: Alexandria via LeMat-Bulk
Functional: GGA-PBE
Structure: optimized geometry

Computed properties:
ΔE_f (raw), eV per atom: -2.36
Density, kg/m³: 4512

a = 3.243 Å, b = 12.734 Å, c = 10.337 Å
α = 90.00°, β = 90.00°, γ = 90.00°
Space group Cmc2_1 (No. 36)
Asymmetric unit:
Ca1 0.000 0.094 0.000 [4 per cell]
Ca2 0.000 0.148 0.635 [4 per cell]
Al1 0.000 0.467 0.778 [4 per cell]
Rh1 0.000 0.218 0.358 [4 per cell]
O1 0.000 0.057 0.358 [4 per cell]
O2 0.000 0.273 0.990 [4 per cell]
O3 0.000 0.314 0.737 [4 per cell]
O4 0.000 0.387 0.332 [4 per cell]
O5 0.000 0.496 0.113 [4 per cell]

Record 11
Compound: NdMg2Ga2Ir
Source: Alexandria via LeMat-Bulk
Functional: GGA-PBE
Structure: optimized geometry

Computed properties:
Electronic total energy, eV/atom: -3.7072
Density, kg/m³: 6173
D(E_F), states/eV/f.u.: 1.59

a = 5.067 Å, b = 5.067 Å, c = 10.993 Å
α = 90.00°, β = 90.00°, γ = 90.00°
Space group I4/mmm (No. 139)
Asymmetric unit:
Nd1 0.000 0.000 0.000 [2 per cell]
Mg1 0.000 0.500 0.250 [4 per cell]
Ga1 0.000 0.000 0.285 [4 per cell]
Ir1 0.000 0.000 0.500 [2 per cell]